[1]
Compound: LaCuIr2
Source: Alexandria via LeMat-Bulk
Functional: GGA-PBE
Structure: relaxed

```
LaCuIr2
1.0
4.443 0.000 0.000
0.000 2.995 0.004
0.000 1.172 5.397
Cu Ir La
1 2 1
direct
0.500 0.896 0.771
0.000 0.866 0.035
0.500 0.261 0.164
0.000 0.476 0.531
```

**Calculated total energy**: -6.74 eV/atom
**Energy above the most stable polymorph in this dataset**: 346 meV per atom
**D(E_F)**: 0.891 states/eV per atom
**E_form**: -52.9 meV/atom
**Total moment**: 0.000 μB/cell

---

[2]
Compound: BeNi2Pb
Source: Alexandria via LeMat-Bulk
Functional: GGA-PBE
Structure: relaxed

```
BeNi2Pb
1.0
-0.836 -2.105 1.879
0.443 -2.020 -2.066
6.539 -2.279 0.354
Pb Ni Be
1 2 1
direct
0.500 0.250 0.250
0.000 0.120 0.932
0.000 0.380 0.568
0.500 0.750 0.750
```

**Calculated total energy**: -4.59 eV/atom
**Energy above the most stable polymorph in this dataset**: 99 meV per atom
**D(E_F)**: 0.779 states/eV per atom
**E_form**: 156.8 meV/atom
**Total moment**: 0.000 μB/cell

---

Q: Which formula does entry 1 have?
A: LaCuIr2

---

Copy entry 1 word for word.
Compound: LaCuIr2
Source: Alexandria via LeMat-Bulk
Functional: GGA-PBE
Structure: relaxed

```
LaCuIr2
1.0
4.443 0.000 0.000
0.000 2.995 0.004
0.000 1.172 5.397
Cu Ir La
1 2 1
direct
0.500 0.896 0.771
0.000 0.866 0.035
0.500 0.261 0.164
0.000 0.476 0.531
```

**Calculated total energy**: -6.74 eV/atom
**Energy above the most stable polymorph in this dataset**: 346 meV per atom
**D(E_F)**: 0.891 states/eV per atom
**E_form**: -52.9 meV/atom
**Total moment**: 0.000 μB/cell

---

Q: What is the D(E_F) in the first record?
A: 0.891 states/eV per atom